Entry 1:
PBE-GGA Pm2InSe, relaxed; symmetry = P4/mmm, No. 123; energy above the lowest structure with this stoichiometry = 162 meV/atom
1.0
3.583 0.000 0.000
0.000 3.583 0.000
0.000 0.000 8.235
In Pm Se
1 2 1
direct
0.500 0.500 0.500
0.000 0.000 0.772
0.000 0.000 0.228
0.500 0.500 0.000

***

Entry 2:
PBE-GGA K2TlCr, relaxed; E_form = 0.56 eV/atom; symmetry = F-43m, No. 216; energy above the lowest structure with this stoichiometry = 134 meV/atom
1.0
5.784 0.000 0.000
2.892 5.009 0.000
2.892 1.670 4.723
Tl K Cr
1 2 1
direct
0.750 0.750 0.750
0.250 0.250 0.250
0.000 0.000 0.000
0.500 0.500 0.500

***

Entry 3:
PBE-GGA LaCu2Pt, relaxed; E_form = -0.21 eV/atom; symmetry = Pmmm, No. 47; energy above the lowest structure with this stoichiometry = 307 meV/atom
1.0
-1.052 -2.912 -1.765
2.866 0.388 -2.349
3.199 -3.201 3.374
Cu La Pt
2 1 1
direct
0.000 0.000 0.541
0.000 0.000 0.959
0.500 0.500 0.250
0.500 0.500 0.750

***

Entry 4:
PBE-GGA SmNiH3, relaxed; raw total energy = -22.9 eV/cell; symmetry = Pm-3m, No. 221
1.0
-0.546 -3.064 -1.779
2.555 0.906 -2.345
2.454 -1.625 2.046
Ni H Sm
1 3 1
direct
0.000 0.000 0.000
0.000 0.000 0.500
0.000 0.500 0.000
0.500 0.000 0.000
0.500 0.500 0.500

***

Entry 5:
PBE-GGA ScTaTl, relaxed; E_form = 0.14 eV/atom; symmetry = Fmm2, No. 42; energy above the lowest structure with this stoichiometry = 0 meV/atom
1.0
7.445 -0.006 0.006
6.743 2.936 -0.010
0.702 -0.270 2.930
Sc Ta Tl
1 1 1
direct
0.008 0.008 0.992
0.662 0.662 0.338
0.330 0.330 0.670

***

Entry 6:
PBE-GGA Tb3Bi3C, relaxed; E_form = -0.44 eV/atom; symmetry = C2/m, No. 12
1.0
7.261 0.990 0.099
-2.349 6.942 0.099
-0.643 -1.038 7.676
Bi Tb C
6 6 2
direct
0.442 0.442 0.695
0.809 0.191 0.500
0.191 0.809 0.500
0.697 0.303 0.000
0.303 0.697 0.000
0.558 0.558 0.305
0.899 0.899 0.166
0.913 0.589 0.744
0.087 0.411 0.256
0.101 0.101 0.834
0.411 0.087 0.256
0.589 0.913 0.744
0.860 0.860 0.864
0.140 0.140 0.136

***

Entry 7:
PBE-GGA Ac5Tl5Rh, relaxed; E_form = -0.32 eV/atom; symmetry = Immm, No. 71
1.0
5.656 0.000 0.000
-2.828 9.433 0.072
0.000 -3.753 7.459
Ac Tl Rh
5 5 1
direct
0.854 0.708 0.627
0.146 0.292 0.920
0.146 0.292 0.373
0.854 0.708 0.080
0.500 0.000 0.000
0.351 0.702 0.351
0.649 0.298 0.649
0.000 0.000 0.500
0.298 0.595 0.798
0.702 0.405 0.202
0.000 0.000 0.000

***

Entry 8:
PBE-GGA KBa2Mn, relaxed; E_form = 0.55 eV/atom; symmetry = P4/mmm, No. 123; energy above the lowest structure with this stoichiometry = 200 meV/atom
1.0
6.243 0.645 0.000
-0.643 6.244 0.000
0.000 0.000 4.792
K Mn Ba
1 1 2
direct
0.500 0.000 0.500
0.000 0.500 0.500
0.000 0.000 0.000
0.500 0.500 0.000

***

Entry 9:
PBE-GGA Cs3CeSn2Te6, relaxed; raw total energy = -45.3 eV/cell; symmetry = C2/m, No. 12
1.0
-5.131 4.225 4.578
-1.382 -7.820 -1.440
6.821 -0.955 6.161
Sn Te Ce Cs
2 6 1 3
direct
0.666 0.334 0.000
0.334 0.666 0.000
0.062 0.389 0.187
0.389 0.062 0.187
0.736 0.736 0.188
0.264 0.264 0.812
0.611 0.938 0.813
0.938 0.611 0.813
0.000 0.000 0.000
0.500 0.500 0.500
0.170 0.830 0.500
0.830 0.170 0.500

***

Entry 10:
PBE-GGA Na2Mg2Te, relaxed; raw total energy = -19.6 eV/cell; symmetry = P4/mbm, No. 127
1.0
-0.519 2.384 -7.354
-7.727 0.056 0.564
0.149 4.826 1.554
Na Te Mg
4 2 4
direct
0.666 0.834 0.500
0.334 0.166 0.500
0.834 0.334 0.500
0.166 0.666 0.500
0.500 0.500 0.000
0.000 0.000 0.000
0.367 0.867 0.000
0.133 0.367 0.000
0.867 0.633 0.000
0.633 0.133 0.000

***

Entry 11:
PBE-GGA BaLaAg4, relaxed; E_form = -0.12 eV/atom; symmetry = F-43m, No. 216; energy above the lowest structure with this stoichiometry = 130 meV/atom
1.0
4.752 2.913 2.169
-0.724 5.228 2.813
0.847 0.359 5.910
Ag Ba La
4 1 1
direct
0.374 0.877 0.374
0.374 0.374 0.877
0.374 0.374 0.374
0.877 0.374 0.374
0.750 0.750 0.750
0.000 0.000 0.000

***

Entry 12:
PBE-GGA TbCo2Ni5, relaxed; E_form = 0.01 eV/atom; symmetry = Immm, No. 71
1.0
-1.620 0.162 -3.252
-5.581 -1.601 0.667
-3.443 4.722 -0.084
Co Ni Tb
2 5 1
direct
0.256 0.244 0.244
0.744 0.756 0.756
0.353 0.463 0.830
0.647 0.170 0.537
0.647 0.537 0.170
0.000 0.500 0.500
0.353 0.830 0.463
0.000 0.000 0.000

***

Entry 13:
PBE-GGA Pr2ErZn2Pd5, relaxed; E_form = -0.73 eV/atom; symmetry = P4/mbm, No. 127
1.0
-2.463 2.415 -1.815
-5.415 -7.893 -3.153
-5.629 0.529 8.342
Zn Pr Pd Er
4 4 10 2
direct
0.000 0.618 0.882
0.000 0.382 0.118
0.000 0.118 0.618
0.000 0.882 0.382
0.000 0.323 0.823
0.000 0.677 0.177
0.000 0.823 0.677
0.000 0.177 0.323
0.500 0.213 0.066
0.500 0.287 0.566
0.500 0.934 0.213
0.500 0.787 0.934
0.500 0.000 0.500
0.500 0.066 0.787
0.500 0.500 0.000
0.500 0.566 0.713
0.500 0.713 0.434
0.500 0.434 0.287
0.000 0.500 0.500
0.000 0.000 0.000

***

Entry 14:
PBE-GGA CaPrNi2H8, relaxed; raw total energy = -47.8 eV/cell; symmetry = R-3m, No. 166
1.0
-0.368 3.146 3.367
-3.870 0.251 2.516
0.980 -2.963 6.049
Ni H Pr Ca
2 8 1 1
direct
0.764 0.764 0.707
0.236 0.236 0.293
0.449 0.926 0.176
0.151 0.151 0.548
0.849 0.849 0.452
0.551 0.074 0.824
0.074 0.551 0.824
0.449 0.449 0.176
0.926 0.449 0.176
0.551 0.551 0.824
0.500 0.500 0.500
0.000 0.000 0.000

***

Entry 15:
PBE-GGA Ba3CaIr2O9, relaxed; symmetry = C2/c, No. 15; energy above the lowest structure with this stoichiometry = 0 meV/atom
1.0
-4.899 1.989 -2.767
0.576 -5.814 1.214
-6.810 1.833 12.957
O Ba Ca Ir
18 6 2 4
direct
0.199 0.841 0.412
0.800 0.621 0.580
0.025 0.511 0.257
0.489 0.975 0.243
0.621 0.800 0.080
0.841 0.199 0.912
0.200 0.379 0.420
0.511 0.489 0.750
0.337 0.159 0.595
0.841 0.663 0.905
0.159 0.337 0.095
0.159 0.801 0.088
0.975 0.489 0.743
0.489 0.511 0.250
0.511 0.025 0.757
0.379 0.200 0.920
0.801 0.159 0.588
0.663 0.841 0.405
0.662 0.328 0.086
0.002 0.998 0.250
0.338 0.672 0.914
0.998 0.002 0.750
0.328 0.662 0.586
0.672 0.338 0.414
0.000 0.000 0.500
0.000 0.000 0.000
0.345 0.677 0.337
0.677 0.345 0.837
0.655 0.323 0.663
0.323 0.655 0.163

***

Entry 16:
PBE-GGA UAl10Ir2, relaxed; E_form = -0.46 eV/atom; symmetry = Cmcm, No. 63
1.0
-2.819 -5.071 -3.626
-2.830 -1.522 6.040
-7.130 5.383 -1.984
Al Ir U
20 4 2
direct
0.215 0.215 0.000
0.379 0.621 0.444
0.379 0.621 0.056
0.776 0.521 0.250
0.521 0.776 0.750
0.844 0.156 0.103
0.215 0.215 0.500
0.785 0.785 0.500
0.844 0.156 0.397
0.156 0.844 0.897
0.621 0.379 0.944
0.140 0.401 0.250
0.599 0.860 0.250
0.621 0.379 0.556
0.479 0.224 0.250
0.401 0.140 0.750
0.785 0.785 0.000
0.156 0.844 0.603
0.860 0.599 0.750
0.224 0.479 0.750
0.000 0.500 0.500
0.000 0.500 0.000
0.500 0.000 0.000
0.500 0.000 0.500
0.880 0.120 0.750
0.120 0.880 0.250

***

Entry 17:
PBE-GGA Nd6Te3PPt2, relaxed; raw total energy = -71.5 eV/cell; symmetry = C2/m, No. 12
1.0
7.434 -0.009 -0.004
-3.724 6.434 -0.004
-1.242 -2.150 7.423
Nd P Pt Te
6 1 2 3
direct
0.740 0.740 0.219
0.260 0.260 0.781
0.072 0.404 0.216
0.596 0.928 0.784
0.404 0.072 0.216
0.928 0.596 0.784
0.000 0.000 0.000
0.667 0.333 0.000
0.333 0.667 0.000
0.835 0.165 0.500
0.500 0.500 0.500
0.165 0.835 0.500

***

Entry 18:
PBE-GGA In2NiHgPb, relaxed; E_form = 0.08 eV/atom; symmetry = P4/mmm, No. 123; energy above the lowest structure with this stoichiometry = 64 meV/atom
1.0
4.974 0.000 0.000
0.000 4.974 0.000
0.000 0.000 5.133
Pb Hg In Ni
1 1 2 1
direct
0.500 0.500 0.500
0.000 0.000 0.500
0.500 0.000 0.000
0.000 0.500 0.000
0.000 0.000 0.000

***

Entry 19:
PBE-GGA BaBi2P, relaxed; E_form = -0.23 eV/atom; symmetry = I-42d, No. 122
1.0
9.262 0.000 0.000
0.000 9.262 0.000
4.631 4.631 3.195
Bi Ba P
4 2 2
direct
0.549 0.125 0.250
0.875 0.799 0.750
0.201 0.625 0.250
0.375 0.451 0.750
0.750 0.250 0.500
0.000 0.000 0.000
0.500 0.500 0.000
0.250 0.750 0.500